{"formula": "BaAs3", "functional": "PBEsol", "state": "relaxed", "sg": "Cmcm (63)", "n_ef_per_ev_fu": 0.597, "ef_mev_per_atom": -188, "cell": [[4.2732, 0.0000, 0.0000], [0.0000, 8.0526, 0.0000], [0.0000, -4.0263, 8.7437]], "species": ["As", "As", "As", "As", "As", "Ba", "Ba", "As"], "frac_coords": [[0.2500, 0.9194, 0.8388], [0.7500, 0.0124, 0.7246], [0.2500, 0.2878, 0.2754], [0.2500, 0.9876, 0.2754], [0.7500, 0.0806, 0.1612], [0.2500, 0.7319, 0.4638], [0.7500, 0.2681, 0.5362], [0.7500, 0.7122, 0.7246]]}